No. 1
The following is a DFT calculation (PBE) of CdInCu2 after structural relaxation.

Cell lengths 7.2090, 4.4161, 3.4538 Å; angles 90.31, 60.94, 128.78 degrees
Fractional coordinates of all 4 atoms:
1 Cd 0.5000 0.5000 0.0000
2 Cu 0.0000 0.0000 0.0000
3 Cu 0.5000 0.0000 0.5000
4 In 0.0000 0.5000 0.5000

- formation enthalpy at 0 K (eV per atom) = 0.084



No. 2
The following is a DFT calculation (PBE) of CdInCu2 after structural relaxation.

Cell lengths 3.8811, 3.8811, 6.4583 Å; angles 72.51, 72.51, 60.00 degrees
Fractional coordinates of all 4 atoms:
1 Cd 0.4976 0.4976 0.5073
2 In 0.6695 0.6695 0.9914
3 Cu 0.0863 0.0863 0.7412
4 Cu 0.2466 0.2466 0.2601

- formation enthalpy at 0 K (eV per atom) = 0.250



No. 3
The following is a DFT calculation (PBE) of Cd2InCu after structural relaxation.

Cell lengths 4.3541, 3.4804, 5.9533 Å; angles 68.64, 90.00, 90.00 degrees
Fractional coordinates of all 4 atoms:
1 Cd 0.0000 0.0614 0.0385
2 Cd 0.5000 0.4449 0.2350
3 Cu 0.0000 0.3151 0.5340
4 In 0.5000 0.6786 0.6925

- formation enthalpy at 0 K (eV per atom) = 0.111



No. 4
The following is a DFT calculation (PBE) of Cd2InCu after structural relaxation.

Cell lengths 3.2235, 3.1310, 8.1973 Å; angles 90.00, 90.00, 90.00 degrees
Fractional coordinates of all 4 atoms:
1 Cd 0.0000 0.0000 0.0089
2 Cd 0.5000 0.5000 0.2888
3 Cu 0.0000 0.0000 0.4950
4 In 0.5000 0.5000 0.7074

- formation enthalpy at 0 K (eV per atom) = 0.079



no.,density (Mg/m³)
1,8.74
2,7.45
3,7.97
4,8.09